# 1
First-principles (PBEsol) data for a relaxed structure of ZnCu2, as listed in the Alexandria database.

abc: 5.5855 5.5855 5.5855
angles: 153.00 153.00 38.56
Positions (direct):
Zn 0.0000 0.0000 0.0000
Cu 0.3313 0.3313 0.0000
Cu 0.6687 0.6687 0.0000

- D(E_F) (states/eV per cell) = 0.75
- formation energy from the elements (meV per atom) = -64
- crystal system = tetragonal



# 2
First-principles (PBEsol) data for a relaxed structure of Zn2Cu, as listed in the Alexandria database.

abc: 7.0957 7.0957 2.6619
angles: 90.00 90.00 120.00
Positions (direct):
Zn 0.0000 0.3682 0.0000
Zn 0.0000 0.7009 0.5000
Zn 0.2991 0.2991 0.5000
Zn 0.3682 0.0000 0.0000
Zn 0.6318 0.6318 0.0000
Zn 0.7009 0.0000 0.5000
Cu 0.0000 0.0000 0.0000
Cu 0.3333 0.6667 0.5000
Cu 0.6667 0.3333 0.5000

- D(E_F) (states/eV per cell) = 2.62
- formation energy from the elements (meV per atom) = -61
- crystal system = hexagonal



# 3
First-principles (PBEsol) data for a relaxed structure of ZnCu3, as listed in the Alexandria database.

abc: 8.3647 8.3647 8.3647
angles: 17.70 17.70 17.70
Positions (direct):
Zn 0.0000 0.0000 0.0000
Cu 0.2485 0.2485 0.2485
Cu 0.5000 0.5000 0.5000
Cu 0.7515 0.7515 0.7515

- D(E_F) (states/eV per cell) = 1.31
- formation energy from the elements (meV per atom) = -23
- crystal system = trigonal



# 4
First-principles (PBEsol) data for a relaxed structure of ZnCu2, as listed in the Alexandria database.

abc: 4.4474 4.4474 4.4474
angles: 145.94 132.88 59.41
Positions (direct):
Zn 0.0000 0.0000 0.0000
Cu 0.3323 0.3323 0.0000
Cu 0.6677 0.6677 0.0000

- D(E_F) (states/eV per cell) = 0.87
- formation energy from the elements (meV per atom) = -77
- crystal system = orthorhombic